Entry 1:
VASP calculation (GGA-PBE) on a geometry-optimized HfNbO2 structure.

a = 7.0635 Å, b = 7.0635 Å, c = 7.0635 Å
α = 24.62°, β = 24.62°, γ = 24.62°
Fractional positions:
Nb (0.5000, 0.5000, 0.5000)
Hf (0.0000, 0.0000, 0.0000)
O (0.9009, 0.9009, 0.9009)
O (0.0991, 0.0991, 0.0991)

Calculated values
ΔE_f (raw) in eV per atom: -1.7856
Space-group type: R-3m, No. 166
Mass density in g/cm³: 9.37



Entry 2:
VASP calculation (GGA-PBE) on a geometry-optimized HfNbO2 structure.

a = 4.9470 Å, b = 4.9470 Å, c = 6.0023 Å
α = 65.66°, β = 65.66°, γ = 90.00°
Fractional positions:
Nb (0.5000, 0.5000, 0.0000)
Nb (0.2500, 0.7500, 0.5000)
Hf (0.0000, 0.0000, 0.0000)
Hf (0.7500, 0.2500, 0.5000)
O (0.6592, 0.1250, 0.2500)
O (0.0908, 0.6250, 0.2500)
O (0.3750, 0.3408, 0.7500)
O (0.8750, 0.9092, 0.7500)

Calculated values
ΔE_f (raw) in eV per atom: -1.7486
Space-group type: I-42d, No. 122
Mass density in g/cm³: 8.44



Entry 3:
VASP calculation (GGA-PBE) on a geometry-optimized Hf3NbO structure.

a = 5.0447 Å, b = 5.0447 Å, c = 5.0447 Å
α = 90.00°, β = 90.00°, γ = 90.00°
Fractional positions:
Nb (0.0000, 0.0000, 0.0000)
Hf (0.0000, 0.5000, 0.0000)
Hf (0.0000, 0.0000, 0.5000)
Hf (0.5000, 0.0000, 0.0000)
O (0.5000, 0.5000, 0.5000)

Calculated values
ΔE_f (raw) in eV per atom: 1.3828
Space-group type: Pm-3m, No. 221
Mass density in g/cm³: 8.33



Entry 4:
VASP calculation (GGA-PBE) on a geometry-optimized HfNbO2 structure.

a = 4.0222 Å, b = 4.0222 Å, c = 4.0222 Å
α = 60.00°, β = 60.00°, γ = 60.00°
Fractional positions:
Nb (0.0000, 0.0000, 0.0000)
Hf (0.5000, 0.5000, 0.5000)
O (0.2500, 0.2500, 0.2500)
O (0.7500, 0.7500, 0.7500)

Calculated values
ΔE_f (raw) in eV per atom: -1.2737
Space-group type: Fm-3m, No. 225
Mass density in g/cm³: 10.95



Entry 5:
VASP calculation (GGA-PBE) on a geometry-optimized HfNbO4 structure.

a = 6.3002 Å, b = 6.3002 Å, c = 5.1165 Å
α = 67.90°, β = 67.90°, γ = 112.85°
Fractional positions:
Nb (0.1460, 0.8540, 0.7500)
Nb (0.8540, 0.1460, 0.2500)
Hf (0.6179, 0.3821, 0.7500)
Hf (0.3821, 0.6179, 0.2500)
O (0.9888, 0.5480, 0.2462)
O (0.5480, 0.9888, 0.7462)
O (0.2414, 0.3119, 0.1484)
O (0.3119, 0.2414, 0.6484)
O (0.6881, 0.7586, 0.3516)
O (0.7586, 0.6881, 0.8516)
O (0.4520, 0.0112, 0.2537)
O (0.0112, 0.4520, 0.7538)

Calculated values
ΔE_f (raw) in eV per atom: -2.8761
Space-group type: C2/c, No. 15
Mass density in g/cm³: 8.12



Entry 6:
VASP calculation (GGA-PBE) on a geometry-optimized HfNbO4 structure.

a = 5.8174 Å, b = 5.8174 Å, c = 5.8174 Å
α = 107.50°, β = 107.50°, γ = 113.50°
Fractional positions:
Hf (0.7550, 0.7550, 0.0000)
Hf (0.5050, 0.0050, 0.5000)
Nb (0.2555, 0.2555, 0.0000)
Nb (0.0055, 0.5055, 0.5000)
O (0.2456, 0.9444, 0.6988)
O (0.7491, 0.4456, 0.6964)
O (0.6944, 0.4956, 0.1988)
O (0.1956, 0.9991, 0.1964)
O (0.2968, 0.4956, 0.8012)
O (0.8027, 0.9991, 0.8036)
O (0.7491, 0.0527, 0.3036)
O (0.2456, 0.5468, 0.3012)

Calculated values
ΔE_f (raw) in eV per atom: -2.9221
Space-group type: I4_1md, No. 109
Mass density in g/cm³: 7.38



Entry 7:
VASP calculation (GGA-PBE) on a geometry-optimized Hf2Nb4O structure.

a = 4.1717 Å, b = 4.1717 Å, c = 8.1695 Å
α = 75.21°, β = 75.21°, γ = 90.00°
Fractional positions:
Nb (0.8528, 0.8528, 0.2944)
Nb (0.1472, 0.1472, 0.7056)
Nb (0.0000, 0.5000, 0.0000)
Nb (0.5000, 0.0000, 0.0000)
Hf (0.6568, 0.6568, 0.6863)
Hf (0.3432, 0.3432, 0.3137)
O (0.0000, 0.0000, 0.0000)

Calculated values
ΔE_f (raw) in eV per atom: -0.1037
Space-group type: I4/mmm, No. 139
Mass density in g/cm³: 9.33



Entry 8:
VASP calculation (GGA-PBE) on a geometry-optimized HfNbPbO6 structure.

a = 5.4593 Å, b = 5.4593 Å, c = 9.8710 Å
α = 90.00°, β = 90.00°, γ = 120.00°
Fractional positions:
Hf (0.6667, 0.3333, 0.2500)
Hf (0.3333, 0.6667, 0.7500)
Nb (0.3333, 0.6667, 0.2500)
Nb (0.6667, 0.3333, 0.7500)
Pb (0.0000, 0.0000, 0.0000)
Pb (0.0000, 0.0000, 0.5000)
O (0.6299, 0.6385, 0.1394)
O (0.0086, 0.3701, 0.1394)
O (0.3701, 0.0086, 0.6394)
O (0.9914, 0.6299, 0.8606)
O (0.3615, 0.3701, 0.3606)
O (0.0086, 0.6385, 0.3606)
O (0.6385, 0.0086, 0.8606)
O (0.6299, 0.9914, 0.3606)
O (0.9914, 0.3615, 0.6394)
O (0.3615, 0.9914, 0.1394)
O (0.6385, 0.6299, 0.6394)
O (0.3701, 0.3615, 0.8606)

Calculated values
ΔE_f (raw) in eV per atom: -2.3831
Space-group type: P-31c, No. 163
Mass density in g/cm³: 7.49



Entry 9:
VASP calculation (GGA-PBE) on a geometry-optimized HfNbPd2O structure.

a = 4.4046 Å, b = 4.1077 Å, c = 4.4046 Å
α = 90.00°, β = 90.00°, γ = 90.00°
Fractional positions:
Nb (0.0000, 0.5000, 0.0000)
Hf (0.5000, 0.5000, 0.5000)
O (0.0000, 0.0000, 0.0000)
Pd (0.0000, 0.0000, 0.5000)
Pd (0.5000, 0.0000, 0.0000)

Calculated values
ΔE_f (raw) in eV per atom: -0.4692
Space-group type: P4/mmm, No. 123
Mass density in g/cm³: 10.42



Entry 10:
VASP calculation (GGA-PBE) on a geometry-optimized PuHfNbO6 structure.

a = 5.3992 Å, b = 5.3992 Å, c = 9.8980 Å
α = 90.00°, β = 90.00°, γ = 120.00°
Fractional positions:
Pu (0.0000, 0.0000, 0.0000)
Pu (0.0000, 0.0000, 0.5000)
Hf (0.3333, 0.6667, 0.2500)
Hf (0.6667, 0.3333, 0.7500)
Nb (0.6667, 0.3333, 0.2500)
Nb (0.3333, 0.6667, 0.7500)
O (0.6475, 0.6398, 0.1384)
O (0.9923, 0.3525, 0.1384)
O (0.3525, 0.9923, 0.6384)
O (0.0077, 0.6475, 0.8616)
O (0.3602, 0.3525, 0.3616)
O (0.9923, 0.6398, 0.3616)
O (0.6398, 0.9923, 0.8616)
O (0.6475, 0.0077, 0.3616)
O (0.0077, 0.3602, 0.6384)
O (0.3602, 0.0077, 0.1384)
O (0.6398, 0.6475, 0.6384)
O (0.3525, 0.3602, 0.8616)

Calculated values
ΔE_f (raw) in eV per atom: -2.9981
Space-group type: P-31c, No. 163
Mass density in g/cm³: 8.13



Entry 11:
VASP calculation (GGA-PBE) on a geometry-optimized RbHfNb2O8 structure.

a = 5.7789 Å, b = 5.7791 Å, c = 7.8610 Å
α = 74.40°, β = 74.40°, γ = 64.66°
Fractional positions:
Rb (0.0000, 0.0000, 0.5000)
Hf (0.0000, 0.0000, 0.0000)
Nb (0.4167, 0.4168, 0.7494)
Nb (0.5833, 0.5832, 0.2506)
O (0.2571, 0.7765, 0.1795)
O (0.7781, 0.7781, 0.1202)
O (0.7766, 0.2570, 0.1796)
O (0.7429, 0.2235, 0.8205)
O (0.2219, 0.2219, 0.8798)
O (0.2234, 0.7430, 0.8204)
O (0.6121, 0.6119, 0.4877)
O (0.3879, 0.3881, 0.5123)

Calculated values
ΔE_f (raw) in eV per atom: -2.5412
Space-group type: C2/m, No. 12
Mass density in g/cm³: 4.27



Entry 12:
VASP calculation (GGA-PBE) on a geometry-optimized HfNb2ReO structure.

a = 5.1421 Å, b = 3.7619 Å, c = 5.1421 Å
α = 90.00°, β = 90.00°, γ = 90.00°
Fractional positions:
Re (0.5000, 0.5000, 0.5000)
Nb (0.0000, 0.0000, 0.5000)
Nb (0.5000, 0.0000, 0.0000)
Hf (0.0000, 0.0000, 0.0000)
O (0.0000, 0.5000, 0.0000)

Calculated values
ΔE_f (raw) in eV per atom: 1.0214
Space-group type: P4/mmm, No. 123
Mass density in g/cm³: 9.46